No. 1
DFT (PBE-GGA) results for LiCuNiPd after structural relaxation.

Lattice parameters (Å, degrees): 4.1402 4.1402 4.1402 60.00 60.00 60.00
Positions (direct):
1 Pd 0.7500 0.7500 0.7500
2 Li 0.0000 0.0000 0.0000
3 Ni 0.5000 0.5000 0.5000
4 Cu 0.2500 0.2500 0.2500

As for the crystal system: cubic. The calculated formation energy is -0.382 eV per formula unit. Its space group is F-43m. The value obtained for the density of states at the Fermi level is 1.211 states/eV/atom. For the total magnetization, the calculation gives 0.00 μB/f.u. The calculation puts the mass density at 7.8 g/cm³.

=====

No. 2
DFT (PBE-GGA) results for Li3Pm2Cu12Ni after structural relaxation.

Lattice parameters (Å, degrees): 10.6143 10.6143 10.6143 31.09 31.09 31.09
Positions (direct):
1 Cu 0.3654 0.9126 0.9126
2 Cu 0.9126 0.9126 0.3654
3 Cu 0.0874 0.6346 0.0874
4 Cu 0.5880 0.5880 0.1666
5 Cu 0.5880 0.1666 0.5880
6 Cu 0.6346 0.0874 0.0874
7 Cu 0.4120 0.4120 0.8334
8 Cu 0.8334 0.4120 0.4120
9 Cu 0.9126 0.3654 0.9126
10 Cu 0.0874 0.0874 0.6346
11 Cu 0.1666 0.5880 0.5880
12 Cu 0.4120 0.8334 0.4120
13 Pm 0.3558 0.3558 0.3558
14 Pm 0.6442 0.6442 0.6442
15 Li 0.5000 0.0000 0.0000
16 Li 0.0000 0.0000 0.5000
17 Li 0.0000 0.5000 0.0000
18 Ni 0.0000 0.0000 0.0000

As for the crystal system: trigonal. The calculated formation energy is 2.245 eV per formula unit. Its space group is R-3m. The value obtained for the density of states at the Fermi level is 0.280 states/eV/atom. For the total magnetization, the calculation gives 0.00 μB/f.u. The calculation puts the mass density at 6.6 g/cm³.

=====

No. 3
DFT (PBE-GGA) results for LiPmCuNi after structural relaxation.

Lattice parameters (Å, degrees): 4.6793 4.6793 4.6793 60.00 60.00 60.00
Positions (direct):
1 Cu 0.0000 0.0000 0.0000
2 Ni 0.5000 0.5000 0.5000
3 Pm 0.2500 0.2500 0.2500
4 Li 0.7500 0.7500 0.7500

As for the crystal system: cubic. The calculated formation energy is -0.134 eV per formula unit. Its space group is F-43m. The value obtained for the density of states at the Fermi level is 0.899 states/eV/atom. For the total magnetization, the calculation gives 0.00 μB/f.u. The calculation puts the mass density at 6.3 g/cm³.

=====

No. 4
DFT (PBE-GGA) results for LiPrCuNi after structural relaxation.

Lattice parameters (Å, degrees): 4.7391 4.7391 4.7391 60.00 60.00 60.00
Positions (direct):
1 Li 0.5000 0.5000 0.5000
2 Pr 0.0000 0.0000 0.0000
3 Cu 0.2500 0.2500 0.2500
4 Ni 0.7500 0.7500 0.7500

As for the crystal system: cubic. The calculated formation energy is 0.005 eV per formula unit. Its space group is F-43m. The value obtained for the density of states at the Fermi level is 0.892 states/eV/atom. For the total magnetization, the calculation gives 0.00 μB/f.u. The calculation puts the mass density at 6.0 g/cm³.

=====

No. 5
DFT (PBE-GGA) results for LiPr2Cu5Ni2 after structural relaxation.

Lattice parameters (Å, degrees): 3.9142 9.2558 9.2558 90.00 90.00 90.00
Positions (direct):
1 Pr 0.0000 0.8146 0.6854
2 Pr 0.0000 0.1854 0.3146
3 Pr 0.0000 0.6854 0.1854
4 Pr 0.0000 0.3146 0.8146
5 Li 0.0000 0.5000 0.5000
6 Li 0.0000 0.0000 0.0000
7 Ni 0.0000 0.3906 0.1094
8 Ni 0.0000 0.1094 0.6094
9 Ni 0.0000 0.6094 0.8906
10 Ni 0.0000 0.8906 0.3906
11 Cu 0.5000 0.5000 0.0000
12 Cu 0.5000 0.0578 0.7846
13 Cu 0.5000 0.7154 0.4422
14 Cu 0.5000 0.4422 0.2846
15 Cu 0.5000 0.7846 0.9422
16 Cu 0.5000 0.2846 0.5578
17 Cu 0.5000 0.2154 0.0578
18 Cu 0.5000 0.5578 0.7154
19 Cu 0.5000 0.0000 0.5000
20 Cu 0.5000 0.9422 0.2154

As for the crystal system: tetragonal. The calculated formation energy is -0.912 eV per formula unit. Its space group is P4/mbm. The value obtained for the density of states at the Fermi level is 0.511 states/eV/atom. For the total magnetization, the calculation gives 0.00 μB/f.u. The calculation puts the mass density at 7.2 g/cm³.

=====

No. 6
DFT (PBE-GGA) results for LiCuNiPt after structural relaxation.

Lattice parameters (Å, degrees): 4.1406 4.1406 4.1406 60.00 60.00 60.00
Site moments in Bohr magnetons follow the coordinates.
Positions (direct):
1 Cu 0.2500 0.2500 0.2500  0.01
2 Ni 0.0000 0.0000 0.0000  0.34
3 Pt 0.7500 0.7500 0.7500  0.09
4 Li 0.5000 0.5000 0.5000  0.00

As for the crystal system: cubic. The calculated formation energy is -0.666 eV per formula unit. Its space group is F-43m. The value obtained for the density of states at the Fermi level is 1.311 states/eV/atom. For the total magnetization, the calculation gives 0.43 μB/f.u. The calculation puts the mass density at 10.7 g/cm³.

=====

No. 7
DFT (PBE-GGA) results for LiCuNiRh after structural relaxation.

Lattice parameters (Å, degrees): 2.6063 4.4620 4.5083 109.72 90.00 90.00
Site moments in Bohr magnetons follow the coordinates.
Positions (direct):
1 Ni 0.5000 0.5231 0.7930  0.17
2 Cu 0.5000 0.0239 0.2932  0.01
3 Rh 0.0000 0.0230 0.7930  0.09
4 Li 0.0000 0.5236 0.2928  0.00

As for the crystal system: monoclinic. The calculated formation energy is -0.328 eV per formula unit. Its space group is P2/m. The value obtained for the density of states at the Fermi level is 1.114 states/eV/atom. For the total magnetization, the calculation gives 0.25 μB/f.u. The calculation puts the mass density at 7.8 g/cm³.

=====

No. 8
DFT (PBE-GGA) results for LiScCuNi after structural relaxation.

Lattice parameters (Å, degrees): 4.3639 4.3639 4.3639 60.00 60.00 60.00
Positions (direct):
1 Sc 0.5000 0.5000 0.5000
2 Cu 0.7500 0.7500 0.7500
3 Li 0.0000 0.0000 0.0000
4 Ni 0.2500 0.2500 0.2500

As for the crystal system: cubic. The calculated formation energy is -0.632 eV per formula unit. Its space group is F-43m. The value obtained for the density of states at the Fermi level is 0.605 states/eV/atom. For the total magnetization, the calculation gives 0.00 μB/f.u. The calculation puts the mass density at 4.9 g/cm³.